DFT (PBE-GGA) results for an optimized crystal structure of CrAsSe2N.

Cell lengths 4.5395, 4.5395, 4.6724 Å; angles 90.00, 90.00, 90.00 degrees
Sites, in units of the cell vectors:
Cr  0.0000  0.0000  0.0000
As  0.0000  0.0000  0.5000
Se  0.0000  0.5000  0.0000
Se  0.5000  0.0000  0.0000
N  0.5000  0.5000  0.5000

## Properties
Energy relative to the elements, uncorrected (eV per atom): 1.37
Energy above the most stable polymorph in this dataset (kJ/mol of formula units): 531
Fermi-level density of states (states/eV per atom): 0.9278


DFT (PBE-GGA) results for an optimized crystal structure of Ce6PdRu3.

Cell lengths 7.1061, 7.1351, 11.6626 Å; angles 90.00, 123.65, 90.00 degrees
Sites, in units of the cell vectors:
Ce  0.0473  0.0497  0.2569
Ce  0.0473  0.4503  0.7569
Ce  0.2524  0.6729  0.0931
Ce  0.2524  0.8271  0.5931
Ce  0.4044  0.1371  0.0610
Ce  0.4044  0.3629  0.5610
Ce  0.5956  0.6371  0.4390
Ce  0.5956  0.8629  0.9390
Ce  0.7476  0.1729  0.4069
Ce  0.7476  0.3271  0.9069
Ce  0.9527  0.5497  0.2431
Ce  0.9527  0.9503  0.7431
Pd  0.5000  0.0000  0.5000
Pd  0.5000  0.5000  0.0000
Ru  0.0000  0.0000  0.0000
Ru  0.0000  0.5000  0.5000
Ru  0.2094  0.1519  0.6995
Ru  0.2094  0.3481  0.1995
Ru  0.7906  0.6519  0.8005
Ru  0.7906  0.8481  0.3005

## Properties
Formation energy from the elements (eV per atom): -0.281
Fermi-level density of states (states/eV per atom): 2.2893


DFT (PBE-GGA) results for an optimized crystal structure of LiPrMgOs.

Cell lengths 4.8480, 4.8480, 4.8480 Å; angles 60.00, 60.00, 60.00 degrees
Sites, in units of the cell vectors:
Li  0.0000  0.0000  0.0000
Pr  0.7500  0.7500  0.7500
Mg  0.2500  0.2500  0.2500
Os  0.5000  0.5000  0.5000

## Properties
Formation energy from the elements (eV per atom): 0.100
Fermi-level density of states (states/eV per atom): 0.0848


DFT (PBE-GGA) results for an optimized crystal structure of Sm3HoPd.

Cell lengths 6.4729, 6.4729, 13.9596 Å; angles 114.34, 114.34, 33.82 degrees
Sites, in units of the cell vectors:
Sm  0.0000  0.0000  0.0000
Sm  0.0278  0.0278  0.3698
Sm  0.2332  0.2332  0.8367
Sm  0.3465  0.3465  0.1330
Sm  0.6711  0.6711  0.2393
Sm  0.7011  0.7011  0.6032
Ho  0.3515  0.3515  0.4758
Ho  0.4663  0.4663  0.7612
Pd  0.0070  0.0070  0.6236
Pd  0.6832  0.6832  0.9757

## Properties
Formation energy from the elements (eV per atom): -0.339
Fermi-level density of states (states/eV per atom): 1.2052